Entry from Alexandria: a geometry-optimized LiLaNbAl2 structure (PBE-GGA).

The calculation puts the density at 4.647 Mg/m³. The calculation puts the formation energy at 0.608 eV per atom. The calculation puts the size of the total moment at 0.0 μB per formula unit.

It has space group P4/mmm (No. 123), with a = 4.5486 Å, b = 4.5486 Å, c = 5.0554 Å, α = 90.00°, β = 90.00° and γ = 90.00°. The distinct sites, in fractional coordinates, are Li at (0.0000, 0.0000, 0.0000), La at (0.0000, 0.0000, 0.5000), Nb at (0.5000, 0.5000, 0.5000) and Al at (0.0000, 0.5000, 0.0000).